Record 1
Here is a geometry-optimized LiGa3Ni structure from the Alexandria database. Energies are from PBE-GGA.

Properties
E above lowest polymorph: 114 meV per atom
crystal system: cubic
formation energy: -0.7 eV/f.u.
symmetry: Pm-3m (221)

a = 4.5666 Å, b = 4.5666 Å, c = 4.5666 Å
α = 90.00°, β = 90.00°, γ = 90.00°
With the nearest neighbours (Å) after each atom.
Positions (direct):
1 Ga 0.0000 0.5000 0.0000  2 Ni 2.28
2 Li 0.5000 0.5000 0.5000  12 Ga 3.23
3 Ni 0.0000 0.0000 0.0000  6 Ga 2.28
4 Ga 0.0000 0.0000 0.5000  2 Ni 2.28
5 Ga 0.5000 0.0000 0.0000  2 Ni 2.28

Record 2
Here is a geometry-optimized Sm2TmSi3Pt4 structure from the Alexandria database. Energies are from PBE-GGA.

Properties
formation energy (no corrections): -1078 meV per atom
crystal system: tetragonal
symmetry: P-4m2 (115)

a = 4.2465 Å, b = 4.2465 Å, c = 10.7764 Å
α = 90.00°, β = 90.00°, γ = 90.00°
With the nearest neighbours (Å) after each atom.
Positions (direct):
1 Si 0.0000 0.5000 0.1203  5 Pt 2.39-2.49
2 Pt 0.0000 0.5000 0.3419  1 Si 2.39
3 Tm 0.5000 0.5000 0.5000  4 Pt 2.72, 4 Si 3.00
4 Pt 0.0000 0.0000 0.0000  4 Si 2.49
5 Si 0.5000 0.0000 0.8797  5 Pt 2.39-2.49
6 Si 0.0000 0.0000 0.5000  4 Pt 2.72, 4 Tm 3.00
7 Pt 0.5000 0.5000 0.0000  4 Si 2.49
8 Sm 0.0000 0.5000 0.7731  4 Si 3.22, 8 Pt 3.24-3.25
9 Sm 0.5000 0.0000 0.2269  4 Si 3.22, 8 Pt 3.24-3.25
10 Pt 0.5000 0.0000 0.6581  1 Si 2.39

Record 3
Here is a geometry-optimized NpCu2RhO8 structure from the Alexandria database. Energies are from PBE-GGA.

Properties
formation energy (no corrections): -973 meV per atom
crystal system: tetragonal
symmetry: I-4m2 (119)

a = 5.7681 Å, b = 5.7681 Å, c = 5.7681 Å
α = 112.50°, β = 112.50°, γ = 103.58°
With the nearest neighbours (Å) after each atom.
Positions (direct):
1 O 0.4923 0.6938 0.7985  1 Cu 1.89, 1 Np 1.95
2 Np 0.2500 0.7500 0.5000  4 O 1.95
3 O 0.3062 0.1046 0.7985  1 Cu 1.89, 1 Np 1.95
4 O 0.3062 0.5077 0.2015  1 Cu 1.89, 1 Np 1.95
5 O 0.3484 0.0488 0.2996  1 Cu 1.93, 1 Rh 1.95
6 O 0.7492 0.0488 0.7004  1 Cu 1.93, 1 Rh 1.95
7 O 0.9512 0.2508 0.2996  1 Cu 1.93, 1 Rh 1.95
8 O 0.8954 0.6938 0.2015  1 Cu 1.89, 1 Np 1.95
9 O 0.9512 0.6516 0.7004  1 Cu 1.93, 1 Rh 1.95
10 Cu 0.5000 0.5000 0.0000  4 O 1.89
11 Cu 0.7500 0.2500 0.5000  4 O 1.93
12 Rh 0.0000 0.0000 0.0000  4 O 1.95

Record 4
Here is a geometry-optimized Ba3Sr2CaO6 structure from the Alexandria database. Energies are from PBE-GGA.

Properties
formation energy (no corrections): -2583 meV per atom
crystal system: monoclinic
symmetry: C2/m (12)

a = 6.5481 Å, b = 6.5481 Å, c = 6.5764 Å
α = 99.48°, β = 99.48°, γ = 120.05°
With the nearest neighbours (Å) after each atom.
Positions (direct):
1 Ba 0.5000 0.5000 0.5000  6 O 2.73-2.80
2 Sr 0.3333 0.6667 0.0000  6 O 2.63-2.64
3 O 0.7528 0.7528 0.2304  1 Ca 2.55, 2 Sr 2.64, 3 Ba 2.72-2.80
4 O 0.0761 0.3994 0.2284  1 Ca 2.55, 2 Sr 2.63, 3 Ba 2.73-2.82
5 Ca 0.0000 0.0000 0.0000  6 O 2.55
6 O 0.6006 0.9239 0.7716  1 Ca 2.55, 2 Sr 2.63, 3 Ba 2.73-2.82
7 Sr 0.6667 0.3333 0.0000  6 O 2.63-2.64
8 O 0.9239 0.6006 0.7716  1 Ca 2.55, 2 Sr 2.63, 3 Ba 2.73-2.82
9 Ba 0.8346 0.1654 0.5000  6 O 2.72-2.82
10 O 0.2472 0.2472 0.7696  1 Ca 2.55, 2 Sr 2.64, 3 Ba 2.72-2.80
11 Ba 0.1654 0.8346 0.5000  6 O 2.72-2.82
12 O 0.3994 0.0761 0.2284  1 Ca 2.55, 2 Sr 2.63, 3 Ba 2.73-2.82

Record 5
Here is a geometry-optimized ZrCu structure from the Alexandria database. Energies are from PBE-GGA.

Properties
crystal system: tetragonal
formation energy: 0.0 eV/f.u.
symmetry: I4_1/amd (141)

a = 3.9441 Å, b = 5.2753 Å, c = 3.9441 Å
α = 68.05°, β = 90.00°, γ = 111.95°
With the nearest neighbours (Å) after each atom.
Positions (direct):
1 Zr 0.5000 0.0000 0.5000  8 Cu 2.79-2.98, 4 Zr 2.98
2 Zr 0.2500 0.5000 0.2500  8 Cu 2.79-2.98, 4 Zr 2.98
3 Cu 0.7500 0.5000 0.7500  8 Zr 2.79-2.98, 4 Cu 2.98
4 Cu 0.0000 0.0000 0.0000  8 Zr 2.79-2.98, 4 Cu 2.98

Record 6
Here is a geometry-optimized RbIn2Ag2 structure from the Alexandria database. Energies are from PBE-GGA.

Properties
E above lowest polymorph: 7 meV per atom
crystal system: triclinic
formation energy: -0.2 eV/f.u.
symmetry: P-1 (2)

a = 6.8168 Å, b = 7.0497 Å, c = 7.6717 Å
α = 87.51°, β = 64.92°, γ = 66.57°
With the nearest neighbours (Å) after each atom.
Positions (direct):
1 Ag 0.7975 0.1919 0.5116  4 In 2.83-2.93, 2 Ag 2.94
2 In 0.7342 0.8743 0.7611  4 Ag 2.83-2.93, 1 In 3.11
3 Ag 0.4837 0.6960 0.0642  4 In 2.83-2.95, 2 Ag 2.87-2.94
4 Rb 0.8922 0.7461 0.2164  5 Ag 3.56-3.84, 3 In 3.85-3.97
5 In 0.4831 0.6221 0.6895  4 Ag 2.84-2.95, 1 In 3.11
6 In 0.5169 0.3779 0.3105  4 Ag 2.84-2.95, 1 In 3.11
7 Ag 0.5163 0.3040 0.9358  4 In 2.83-2.95, 2 Ag 2.87-2.94
8 In 0.2658 0.1257 0.2389  4 Ag 2.83-2.93, 1 In 3.11
9 Rb 0.1078 0.2539 0.7836  5 Ag 3.56-3.84, 3 In 3.85-3.97
10 Ag 0.2025 0.8081 0.4884  4 In 2.83-2.93, 2 Ag 2.94

Record 7
Here is a geometry-optimized Nd8Co3IrCl4 structure from the Alexandria database. Energies are from PBE-GGA.

Properties
formation energy (no corrections): -913 meV per atom
crystal system: monoclinic
symmetry: C2/m (12)

a = 8.0089 Å, b = 8.8620 Å, c = 8.0073 Å
α = 116.90°, β = 120.01°, γ = 90.00°
With the nearest neighbours (Å) after each atom.
Positions (direct):
1 Nd 0.7266 0.7027 0.9649  2 Co 2.75, 1 Ir 2.82
2 Nd 0.2667 0.3006 0.5334  3 Co 2.76
3 Nd 0.7617 0.2974 0.5234  2 Co 2.75, 1 Ir 2.82
4 Cl 0.5000 0.0000 0.5000  6 Nd 3.24-3.25
5 Co 0.5000 0.5000 0.5000  6 Nd 2.75-2.76
6 Cl 0.0000 0.0000 0.5000  6 Nd 3.24-3.25
7 Nd 0.2734 0.2973 0.0351  2 Co 2.75, 1 Ir 2.82
8 Co 0.0000 0.5000 0.5000  6 Nd 2.75-2.76
9 Nd 0.2383 0.7026 0.4766  2 Co 2.75, 1 Ir 2.82
10 Ir 0.0000 0.5000 0.0000  6 Nd 2.82
11 Cl 0.5000 0.0000 0.0000  6 Nd 3.18-3.19
12 Cl 0.0000 0.0000 0.0000  6 Nd 3.24-3.25
13 Nd 0.2383 0.7027 0.9649  2 Co 2.75, 1 Ir 2.82
14 Nd 0.7617 0.2973 0.0351  2 Co 2.75, 1 Ir 2.82
15 Nd 0.7333 0.6994 0.4666  3 Co 2.76
16 Co 0.5000 0.5000 0.0000  6 Nd 2.75-2.76

Record 8
Here is a geometry-optimized Li2CaPb structure from the Alexandria database. Energies are from PBE-GGA.

Properties
crystal system: tetragonal
formation energy: -1.0 eV/f.u.
symmetry: P4/mmm (123)

a = 4.7412 Å, b = 4.7412 Å, c = 4.4024 Å
α = 90.00°, β = 90.00°, γ = 90.01°
With the nearest neighbours (Å) after each atom.
Positions (direct):
1 Ca 0.0000 0.5000 0.5000  8 Li 3.23, 4 Pb 3.35
2 Pb 0.5000 0.0000 0.5000  8 Li 3.23, 4 Ca 3.35
3 Li 0.5000 0.5000 0.0000  4 Ca 3.23, 4 Pb 3.23, 4 Li 3.35
4 Li 0.0000 0.0000 0.0000  4 Pb 3.23, 4 Ca 3.23, 4 Li 3.35

Record 9
Here is a geometry-optimized Er2PuNb structure from the Alexandria database. Energies are from PBE-GGA.

Properties
crystal system: trigonal
formation energy: 2.2 eV/f.u.
symmetry: R-3m (166)

a = 3.2195 Å, b = 3.2195 Å, c = 11.6066 Å
α = 82.03°, β = 82.03°, γ = 60.00°
With the nearest neighbours (Å) after each atom.
Positions (direct):
1 Er 0.9152 0.9152 0.2544  1 Nb 2.91, 6 Er 3.22
2 Nb 0.0000 0.0000 0.0000  2 Er 2.91, 6 Nb 3.22
3 Er 0.0848 0.0848 0.7456  1 Nb 2.91, 6 Er 3.22
4 Pu 0.5000 0.5000 0.5000  6 Pu 3.22, 6 Er 3.37

Record 10
Here is a geometry-optimized Pm6SmEr4 structure from the Alexandria database. Energies are from PBE-GGA.

Properties
E above lowest polymorph: 0 meV per atom
crystal system: orthorhombic
formation energy: 1.2 eV/f.u.
symmetry: Cmcm (63)

a = 5.8317 Å, b = 5.6486 Å, c = 25.8244 Å
α = 90.00°, β = 90.00°, γ = 121.08°
With the nearest neighbours (Å) after each atom.
Positions (direct):
1 Pm 0.5000 0.0000 0.0000  8 Er 3.21-3.56
2 Sm 0.7903 0.5807 0.2500  3 Pm 3.27-3.31
3 Er 0.1509 0.3017 0.0437  8 Pm 3.45-3.74, 2 Er 3.62-3.69
4 Pm 0.5000 0.0000 0.5000  8 Er 3.21-3.56
5 Sm 0.2097 0.4193 0.7500  3 Pm 3.27-3.31
6 Er 0.5416 0.0831 0.6234  6 Pm 3.21-3.56
7 Er 0.8491 0.6983 0.9563  8 Pm 3.45-3.74, 2 Er 3.62-3.69
8 Pm 0.1247 0.2494 0.1812  7 Pm 3.55-3.97, 4 Er 3.56-3.65, 3 Sm 3.69-3.77
9 Er 0.8491 0.6983 0.5437  8 Pm 3.45-3.74, 2 Er 3.62-3.69
10 Er 0.5416 0.0831 0.8766  6 Pm 3.21-3.56
11 Er 0.4584 0.9169 0.3766  6 Pm 3.21-3.56
12 Pm 0.8753 0.7506 0.8188  7 Pm 3.55-3.97, 4 Er 3.56-3.65, 3 Sm 3.69-3.77
13 Pm 0.8006 0.6013 0.3999  7 Er 3.35-3.74
14 Pm 0.8006 0.6013 0.1001  7 Er 3.35-3.74
15 Pm 0.1247 0.2494 0.3188  7 Pm 3.55-3.97, 4 Er 3.56-3.65, 3 Sm 3.69-3.77
16 Er 0.1509 0.3017 0.4563  8 Pm 3.45-3.74, 2 Er 3.62-3.69
17 Pm 0.1994 0.3987 0.8999  7 Er 3.35-3.74
18 Er 0.4584 0.9169 0.1234  6 Pm 3.21-3.56
19 Pm 0.4525 0.9049 0.2500  3 Sm 3.27-3.31, 2 Er 3.27, 2 Pm 3.63
20 Pm 0.8753 0.7506 0.6812  7 Pm 3.55-3.97, 4 Er 3.56-3.65, 3 Sm 3.69-3.77
21 Pm 0.5475 0.0951 0.7500  3 Sm 3.27-3.31, 2 Er 3.27, 2 Pm 3.63
22 Pm 0.1994 0.3987 0.6001  7 Er 3.35-3.74

Record 11
Here is a geometry-optimized Li6Cu5Ni structure from the Alexandria database. Energies are from PBE-GGA.

Properties
crystal system: monoclinic
formation energy: -0.1 eV/f.u.
symmetry: C2/m (12)

a = 4.4402 Å, b = 6.8507 Å, c = 6.8507 Å
α = 70.48°, β = 121.58°, γ = 121.58°
With the nearest neighbours (Å) after each atom.
Positions (direct):
1 Cu 0.0000 0.3311 0.6689  5 Cu 2.58-2.67, 6 Li 2.60-2.65, 1 Ni 2.62
2 Li 0.2484 0.4143 0.0834  6 Li 2.56-2.65, 1 Ni 2.60, 5 Cu 2.60-2.65
3 Cu 0.5000 0.8357 0.1643  2 Ni 2.57, 4 Cu 2.58-2.65, 6 Li 2.58-2.63
4 Li 0.7516 0.5857 0.9166  6 Li 2.56-2.65, 1 Ni 2.60, 5 Cu 2.60-2.65
5 Li 0.2484 0.0834 0.4143  6 Li 2.56-2.65, 1 Ni 2.60, 5 Cu 2.60-2.65
6 Li 0.7404 0.2469 0.2469  6 Li 2.56-2.65, 5 Cu 2.58-2.67, 1 Ni 2.61
7 Ni 0.0000 0.0000 0.0000  6 Cu 2.57-2.62, 6 Li 2.60-2.61
8 Li 0.7516 0.9166 0.5857  6 Li 2.56-2.65, 1 Ni 2.60, 5 Cu 2.60-2.65
9 Li 0.2596 0.7531 0.7531  6 Li 2.56-2.65, 5 Cu 2.58-2.67, 1 Ni 2.61
10 Cu 0.0000 0.6689 0.3311  5 Cu 2.58-2.67, 6 Li 2.60-2.65, 1 Ni 2.62
11 Cu 0.5000 0.5000 0.5000  6 Cu 2.59-2.65, 6 Li 2.61-2.67
12 Cu 0.5000 0.1643 0.8357  2 Ni 2.57, 4 Cu 2.58-2.65, 6 Li 2.58-2.63

Record 12
Here is a geometry-optimized V2SiAsI structure from the Alexandria database. Energies are from PBE-GGA.

Properties
formation energy (no corrections): 1696 meV per atom
crystal system: tetragonal
symmetry: P4/mmm (123)

a = 4.9896 Å, b = 5.4801 Å, c = 4.9896 Å
α = 90.00°, β = 90.00°, γ = 90.00°
With the nearest neighbours (Å) after each atom.
Positions (direct):
1 As 0.0000 0.5000 0.0000  2 I 2.74
2 V 0.0000 0.0000 0.5000  2 I 2.49
3 I 0.0000 0.0000 0.0000  4 V 2.49, 2 As 2.74
4 Si 0.5000 0.5000 0.5000  4 As 3.53, 8 V 3.71
5 V 0.5000 0.0000 0.0000  2 I 2.49

Going through the records in order, we get E_tot values of -17.47; -65.12; -79.83; -71.87; -25.25; -24.61; -90.31; -10.52; -31.35; -100.45; -37.84; -21.38 eV per cell.